P | VASP calculation (PBE) on a relaxed BeCrBr crystal.

Calculated values
D(E_F), states/eV per atom: 0.485
ρ, g/cm³: 4.0
Size of the total moment, μB per cell: 16.86

Lattice parameters (Å, degrees): 6.138 6.138 6.138 90.00 90.00 90.00
Space group F-43m (No. 216)
Unique sites:
Be 0.000 0.000 0.000
Cr 0.250 0.250 0.250
Br 0.250 0.250 0.750



Q | VASP calculation (PBE) on a relaxed BeCrBr crystal.

Calculated values
D(E_F), states/eV per atom: 0.677
ρ, g/cm³: 4.7
Size of the total moment, μB per cell: 3.06

Lattice parameters (Å, degrees): 4.2612 4.2612 3.1826 90.00 90.00 120.00
Space group P-6m2 (No. 187)
Unique sites:
Be 0.0000 0.0000 0.0000
Cr 0.6667 0.3333 0.5000
Br 0.3333 0.6667 0.5000



R | VASP calculation (PBE) on a relaxed BeCrBr crystal.

Calculated values
D(E_F), states/eV per atom: 0.650
ρ, g/cm³: 4.8
Size of the total moment, μB per cell: 1.20

Lattice parameters (Å, degrees): 3.0472 3.0472 6.0839 90.00 90.00 120.00
Space group P3m1 (No. 156)
Unique sites:
Be 0.0000 0.0000 0.0000
Cr 0.6667 0.3333 0.7373
Br 0.3333 0.6667 0.4571



S | VASP calculation (PBE) on a relaxed BeCrBr crystal.

Calculated values
D(E_F), states/eV per atom: 0.363
ρ, g/cm³: 4.5
Size of the total moment, μB per cell: 2.02

Lattice parameters (Å, degrees): 2.926 2.926 12.115 90.00 90.00 90.00
Space group I4mm (No. 107)
Unique sites:
Be 0.000 0.000 0.000
Cr 0.000 0.000 0.605
Br 0.000 0.000 0.229



Energy relative to the most stable one, in eV/atom: P 0.453; Q 0.336; R 0.000; S 0.049